Computed, not measured: crystalline ZrCr2Ag at its relaxed geometry at the PBE level of DFT.

Lattice parameters (Å, degrees): 4.9625 4.9625 5.0574 103.63 103.63 35.33
Fractional coordinates of all 4 atoms:
Zr1 0.0000 0.0000 0.0000
Cr1 0.2489 0.2489 0.7528
Cr2 0.7511 0.7511 0.2472
Ag1 0.5000 0.5000 0.5000

## Properties
formation energy	0.546	eV per atom
calculated total energy	-0.262	hartree per atom
space group	No. 12
energy above the lowest structure with this stoichiometry	1.52	eV/f.u.